# GGA-PBE LiHoSn2Se4, relaxed
# Magnetic moment: 0.000 μB per atom
# Uncorrected formation energy: -1001 meV per atom
data_LiHoSn2Se4
_space_group_name_H-M_alt 'P 1 2/m 1'
_space_group_IT_number 10
_space_group_name_Hall '-P 2y'
_cell_length_a 7.121
_cell_length_b 4.169
_cell_length_c 7.319
_cell_angle_alpha 90.00
_cell_angle_beta 108.65
_cell_angle_gamma 90.00
loop_
_atom_site_label
_atom_site_fract_x
_atom_site_fract_y
_atom_site_fract_z
Li1 0.000 0.000 0.000
Ho1 0.500 0.500 0.000
Sn1 0.000 0.500 0.500
Sn2 0.500 0.000 0.500
Se1 0.247 0.500 0.232
Se2 0.256 0.000 0.770



# GGA-PBE CsOsPt3, relaxed
# Magnetic moment: 0.560 μB per atom
# Energy of formation from the pure elements: 15.14 eV/f.u.
data_CsOsPt3
_space_group_name_H-M_alt 'P m -3 m'
_space_group_IT_number 221
_space_group_name_Hall '-P 4 2 3'
_cell_length_a 5.101
_cell_length_b 5.101
_cell_length_c 5.101
_cell_angle_alpha 90.00
_cell_angle_beta 90.00
_cell_angle_gamma 90.00
loop_
_atom_site_label
_atom_site_fract_x
_atom_site_fract_y
_atom_site_fract_z
Cs1 0.000 0.000 0.000
Os1 0.500 0.500 0.500
Pt1 0.000 0.000 0.500



# GGA-PBE Ga2SeN, relaxed
# Magnetic moment: 0.208 μB per atom
# Uncorrected formation energy: 851 meV per atom
data_Ga2SeN
_space_group_name_H-M_alt 'F m -3 m'
_space_group_IT_number 225
_space_group_name_Hall '-F 4 2 3'
_cell_length_a 6.301
_cell_length_b 6.301
_cell_length_c 6.301
_cell_angle_alpha 90.00
_cell_angle_beta 90.00
_cell_angle_gamma 90.00
loop_
_atom_site_label
_atom_site_fract_x
_atom_site_fract_y
_atom_site_fract_z
Ga1 0.250 0.250 0.250
Se1 0.000 0.000 0.000
N1 0.000 0.000 0.500



# GGA-PBE Th2Zn2Hg, relaxed
# Magnetic moment: 0.000 μB per atom
# Energy of formation from the pure elements: -1.20 eV/f.u.
data_Th2Zn2Hg
_space_group_name_H-M_alt 'C m m m'
_space_group_IT_number 65
_space_group_name_Hall '-C 2 2'
_cell_length_a 4.567
_cell_length_b 15.090
_cell_length_c 3.491
_cell_angle_alpha 90.00
_cell_angle_beta 90.00
_cell_angle_gamma 90.00
loop_
_atom_site_label
_atom_site_fract_x
_atom_site_fract_y
_atom_site_fract_z
Th1 0.000 0.124 0.000
Zn1 0.000 0.296 0.500
Hg1 0.000 0.500 0.500



# GGA-PBE Pr8Zn2Cd, relaxed
# Magnetic moment: 0.000 μB per atom
# Energy of formation from the pure elements: -1.37 eV/f.u.
data_Pr8Zn2Cd
_space_group_name_H-M_alt 'C 1 2/m 1'
_space_group_IT_number 12
_space_group_name_Hall '-C 2y'
_cell_length_a 18.112
_cell_length_b 5.144
_cell_length_c 7.882
_cell_angle_alpha 90.00
_cell_angle_beta 111.31
_cell_angle_gamma 90.00
loop_
_atom_site_label
_atom_site_fract_x
_atom_site_fract_y
_atom_site_fract_z
Pr1 0.038 0.000 0.259
Pr2 0.091 0.500 0.962
Pr3 0.176 0.500 0.468
Pr4 0.189 0.000 0.792
Zn1 0.189 0.000 0.175
Cd1 0.000 0.500 0.500



# GGA-PBE Ga3CBr, relaxed
# Magnetic moment: 0.000 μB per atom
# Uncorrected formation energy: 593 meV per atom
data_Ga3CBr
_space_group_name_H-M_alt 'P m -3 m'
_space_group_IT_number 221
_space_group_name_Hall '-P 4 2 3'
_cell_length_a 4.643
_cell_length_b 4.643
_cell_length_c 4.643
_cell_angle_alpha 90.00
_cell_angle_beta 90.00
_cell_angle_gamma 90.00
loop_
_atom_site_label
_atom_site_fract_x
_atom_site_fract_y
_atom_site_fract_z
Ga1 0.000 0.000 0.500
C1 0.000 0.000 0.000
Br1 0.500 0.500 0.500



# GGA-PBE Ac2TbPr6, relaxed
# Magnetic moment: 0.000 μB per atom
# Energy of formation from the pure elements: 0.71 eV/f.u.
data_Ac2TbPr6
_space_group_name_H-M_alt 'C 1 2/c 1'
_space_group_IT_number 15
_space_group_name_Hall '-C 2yc'
_cell_length_a 15.736
_cell_length_b 10.335
_cell_length_c 9.380
_cell_angle_alpha 90.00
_cell_angle_beta 117.78
_cell_angle_gamma 90.00
loop_
_atom_site_label
_atom_site_fract_x
_atom_site_fract_y
_atom_site_fract_z
Ac1 0.092 0.082 0.177
Tb1 0.000 0.254 0.750
Pr1 0.082 0.423 0.166
Pr2 0.164 0.253 0.582
Pr3 0.240 0.410 0.989



# GGA-PBE LiCuSe, relaxed
# Magnetic moment: 0.000 μB per atom
# Uncorrected formation energy: -413 meV per atom
data_LiCuSe
_space_group_name_H-M_alt 'I 4 m m'
_space_group_IT_number 107
_space_group_name_Hall 'I 4 -2'
_cell_length_a 3.591
_cell_length_b 3.591
_cell_length_c 7.324
_cell_angle_alpha 90.00
_cell_angle_beta 90.00
_cell_angle_gamma 90.00
loop_
_atom_site_label
_atom_site_fract_x
_atom_site_fract_y
_atom_site_fract_z
Li1 0.000 0.000 0.000
Cu1 0.000 0.000 0.667
Se1 0.000 0.000 0.338



Q: Look up the magnetic moment of the second one.
A: 0.560 μB per atom